[1]
First-principles (GGA-PBE) data for a relaxed KAg2Pt crystal, as listed in Alexandria via LeMat-Bulk.

a = 2.981 Å, b = 2.981 Å, c = 9.323 Å
α = 90.00°, β = 90.00°, γ = 90.00°
Sites, in units of the cell vectors:
Ag 0.500 0.500 0.207
Ag 0.000 0.000 0.990
K 0.000 0.000 0.520
Pt 0.500 0.500 0.783

## Properties
E_form (eV per atom): 0.170
Fermi-level density of states (states/eV/cell): 1.28
SG: P4mm, No. 99
Calculated volume (Å³/cell): 83
Relative energy among the computed polymorphs (meV per atom): 35
Total magnetization (μB/cell): 0.0
Energy (eV/atom): -3.040

[2]
First-principles (GGA-PBE) data for a relaxed K2AgPt2 crystal, as listed in Alexandria via LeMat-Bulk.

a = 5.270 Å, b = 4.771 Å, c = 6.291 Å
α = 67.72°, β = 65.24°, γ = 90.00°
Sites, in units of the cell vectors:
K 0.702 0.202 0.596
K 0.298 0.798 0.404
Pt 0.742 0.500 0.000
Pt 0.258 0.500 0.000
Ag 0.000 0.000 0.000

## Properties
E_form (eV per atom): -0.092
Fermi-level density of states (states/eV/cell): 3.38
SG: Immm, No. 71
Calculated volume (Å³/cell): 131
Relative energy among the computed polymorphs (meV per atom): 0
Total magnetization (μB/cell): 0.0
Energy (eV/atom): -3.517

[3]
First-principles (GGA-PBE) data for a relaxed KAg2Pt2 crystal, as listed in Alexandria via LeMat-Bulk.

a = 8.479 Å, b = 8.479 Å, c = 2.772 Å
α = 90.00°, β = 90.00°, γ = 90.00°
Sites, in units of the cell vectors:
Ag 0.877 0.623 0.000
Ag 0.123 0.377 0.000
Ag 0.377 0.877 0.000
Ag 0.623 0.123 0.000
Pt 0.672 0.828 0.500
Pt 0.172 0.672 0.500
Pt 0.328 0.172 0.500
Pt 0.828 0.328 0.500
K 0.000 0.000 0.000
K 0.500 0.500 0.000

## Properties
E_form (eV per atom): 0.047
Fermi-level density of states (states/eV/cell): 4.93
SG: P4/mbm, No. 127
Calculated volume (Å³/cell): 199
Relative energy among the computed polymorphs (meV per atom): 12
Total magnetization (μB/cell): 0.0
Energy (eV/atom): -3.729

[4]
First-principles (GGA-PBE) data for a relaxed KAg2Pt crystal, as listed in Alexandria via LeMat-Bulk.

a = 5.058 Å, b = 5.058 Å, c = 3.130 Å
α = 90.00°, β = 90.00°, γ = 90.00°
Sites, in units of the cell vectors:
Pt 0.000 0.500 0.500
K 0.500 0.000 0.500
Ag 0.500 0.500 0.000
Ag 0.000 0.000 0.000

## Properties
E_form (eV per atom): 0.238
Fermi-level density of states (states/eV/cell): 0.98
SG: P4/mmm, No. 123
Calculated volume (Å³/cell): 80
Relative energy among the computed polymorphs (meV per atom): 103
Total magnetization (μB/cell): 0.0
Energy (eV/atom): -2.973

[5]
First-principles (GGA-PBE) data for a relaxed KAg2Pt crystal, as listed in Alexandria via LeMat-Bulk.

a = 4.158 Å, b = 2.929 Å, c = 7.824 Å
α = 68.45°, β = 90.00°, γ = 90.00°
Sites, in units of the cell vectors:
Ag 0.000 0.065 0.936
Ag 0.000 0.435 0.564
K 0.500 0.250 0.250
Pt 0.500 0.750 0.750

## Properties
E_form (eV per atom): 0.136
Fermi-level density of states (states/eV/cell): 1.46
SG: P2/m, No. 10
Calculated volume (Å³/cell): 89
Relative energy among the computed polymorphs (meV per atom): 1
Total magnetization (μB/cell): 0.0
Energy (eV/atom): -3.074

[6]
First-principles (GGA-PBE) data for a relaxed KAg2Pt crystal, as listed in Alexandria via LeMat-Bulk.

a = 4.124 Å, b = 2.899 Å, c = 7.574 Å
α = 90.06°, β = 90.00°, γ = 90.00°
Sites, in units of the cell vectors:
K 0.000 0.997 0.523
Ag 0.500 0.501 0.181
Ag 0.000 0.001 0.985
Pt 0.500 0.500 0.810

## Properties
E_form (eV per atom): 0.143
Fermi-level density of states (states/eV/cell): 1.81
SG: Pm, No. 6
Calculated volume (Å³/cell): 91
Relative energy among the computed polymorphs (meV per atom): 8
Total magnetization (μB/cell): 0.0
Energy (eV/atom): -3.067

[7]
First-principles (GGA-PBE) data for a relaxed KAgPt crystal, as listed in Alexandria via LeMat-Bulk.

a = 4.673 Å, b = 6.214 Å, c = 5.593 Å
α = 91.34°, β = 90.00°, γ = 111.83°
Sites, in units of the cell vectors:
Pt 0.552 0.109 0.631
Pt 0.073 0.151 0.848
Ag 0.611 0.227 0.118
Ag 0.071 0.147 0.356
K 0.817 0.635 0.612
K 0.346 0.695 0.090

## Properties
E_form (eV per atom): -0.099
Fermi-level density of states (states/eV/cell): 1.74
SG: P1, No. 1
Calculated volume (Å³/cell): 151
Relative energy among the computed polymorphs (meV per atom): 15
Total magnetization (μB/cell): 0.0
Energy (eV/atom): -3.429

[8]
First-principles (GGA-PBE) data for a relaxed KAgPt crystal, as listed in Alexandria via LeMat-Bulk.

a = 6.221 Å, b = 6.221 Å, c = 6.221 Å
α = 153.19°, β = 137.17°, γ = 51.25°
Sites, in units of the cell vectors:
Pt 0.611 0.611 0.000
K 0.332 0.332 0.000
Ag 0.057 0.057 0.000

## Properties
E_form (eV per atom): 0.043
Fermi-level density of states (states/eV/cell): 0.97
SG: Imm2, No. 44
Calculated volume (Å³/cell): 74
Relative energy among the computed polymorphs (meV per atom): 157
Total magnetization (μB/cell): 0.0
Energy (eV/atom): -3.287